DFT (PBE) results for crystalline In2NiSnPb at its relaxed geometry.

Cell: 5.041 5.041 5.106 Å, 90.00 90.00 90.00°
Element x y z (fractional)
Pb1 0.500 0.500 0.500
In1 0.000 0.500 0.000
In2 0.500 0.000 0.000
Ni1 0.000 0.000 0.000
Sn1 0.000 0.000 0.500

## Properties
* DOS at the Fermi energy: 3.2 states/eV/f.u.
* symmetry: No. 123
* total energy: -3.74 eV/atom

DFT (PBE) results for crystalline InNiSn2Pb at its relaxed geometry.

Cell: 5.071 5.071 5.082 Å, 90.00 90.00 90.00°
Element x y z (fractional)
In1 0.000 0.000 0.500
Sn1 0.500 0.000 0.000
Sn2 0.000 0.500 0.000
Pb1 0.500 0.500 0.500
Ni1 0.000 0.000 0.000

## Properties
* DOS at the Fermi energy: 3.2 states/eV/f.u.
* symmetry: No. 123
* total energy: -3.99 eV/atom

DFT (PBE) results for crystalline SrInNi2Pb at its relaxed geometry.

Cell: 5.002 5.934 5.002 Å, 90.00 90.00 90.00°
Element x y z (fractional)
Ni1 0.000 0.000 0.500
Ni2 0.500 0.000 0.000
Sr1 0.000 0.000 0.000
In1 0.000 0.500 0.000
Pb1 0.500 0.500 0.500

## Properties
* DOS at the Fermi energy: 4.3 states/eV/f.u.
* symmetry: No. 123
* total energy: -2.73 eV/atom

DFT (PBE) results for crystalline Sr2InNiPb at its relaxed geometry.

Cell: 5.623 5.623 4.987 Å, 90.00 90.00 90.00°
Element x y z (fractional)
Sr1 0.000 0.500 0.000
Sr2 0.500 0.000 0.000
Ni1 0.000 0.000 0.000
In1 0.000 0.000 0.500
Pb1 0.500 0.500 0.500

## Properties
* DOS at the Fermi energy: 2.9 states/eV/f.u.
* symmetry: No. 123
* total energy: -3.35 eV/atom

| no. | energy of formation (eV per atom) | calculated volume (Å³ per cell) |
| --- | --- | --- |
| 1 | 0.0499 | 129.7 |
| 2 | 0.0560 | 130.7 |
| 3 | 1.2078 | 148.4 |
| 4 | -0.2366 | 157.7 |